Record 1
The following is a PBE calculation of a relaxed CaTc2W crystal, from the Alexandria database.

Cell lengths 2.8861, 2.8861, 8.6648 Å; angles 90.00, 90.00, 90.11 degrees
Last column: nearest neighbours and their distance in Å.
Positions (direct):
Tc  0.5000  0.5000  0.2323  8 Tc 2.59-2.89, 4 W 2.81
Tc  0.0000  0.0000  0.0479  8 Tc 2.59-2.89
W  0.0000  0.0000  0.4555  4 Tc 2.81, 4 W 2.89
Ca  0.5000  0.5000  0.7643  4 Ca 2.89, 4 Tc 3.19-3.20

Values from the calculation:
Distance to the lowest polymorph of the same formula in meV per atom: 224
E_form in meV per atom: 523


Record 2
The following is a PBE calculation of a relaxed TiGaGe2 crystal, from the Alexandria database.

Cell lengths 7.2822, 7.2822, 5.8282 Å; angles 51.34, 51.34, 90.00 degrees
Last column: nearest neighbours and their distance in Å.
Positions (direct):
Ga  0.7500  0.2500  0.5000  4 Ge 2.63, 2 Ti 2.73
Ga  0.0000  0.0000  0.0000  4 Ge 2.63, 2 Ti 2.73
Ge  0.3750  0.3678  0.7500  2 Ga 2.63, 2 Ti 2.70, 2 Ge 2.73
Ge  0.1178  0.6250  0.2500  2 Ga 2.63, 2 Ti 2.70, 2 Ge 2.73
Ge  0.8750  0.8822  0.7500  2 Ga 2.63, 2 Ti 2.70, 2 Ge 2.73
Ge  0.6322  0.1250  0.2500  2 Ga 2.63, 2 Ti 2.70, 2 Ge 2.73
Ti  0.2500  0.7500  0.5000  4 Ge 2.70, 2 Ga 2.73
Ti  0.5000  0.5000  0.0000  4 Ge 2.70, 2 Ga 2.73

Values from the calculation:
E_form in meV per atom: 63


Record 3
The following is a PBE calculation of a relaxed Sm3Tm2Rh2 crystal, from the Alexandria database.

Cell lengths 3.8534, 6.3439, 8.5485 Å; angles 100.48, 103.02, 107.69 degrees
Last column: nearest neighbours and their distance in Å.
Positions (direct):
Tm  0.3568  0.5266  0.1871  2 Rh 2.77
Tm  0.6432  0.4734  0.8129  2 Rh 2.77
Rh  0.0534  0.8686  0.2378  2 Tm 2.77, 5 Sm 2.92-3.02
Rh  0.9466  0.1314  0.7622  2 Tm 2.77, 5 Sm 2.92-3.02
Sm  0.5000  0.0000  0.0000  4 Rh 3.02
Sm  0.1846  0.7988  0.5713  3 Rh 2.92-2.93
Sm  0.8154  0.2012  0.4287  3 Rh 2.92-2.93

Values from the calculation:
E_form in meV per atom: -535


Record 4
The following is a PBE calculation of a relaxed YCoTc2 crystal, from the Alexandria database.

Cell lengths 4.5525, 4.5525, 8.8851 Å; angles 75.16, 75.16, 90.00 degrees
Last column: nearest neighbours and their distance in Å.
Positions (direct):
Tc  0.3305  0.1250  0.2500  2 Tc 2.31, 2 Co 2.37
Tc  0.3750  0.6695  0.7500  2 Tc 2.31, 2 Co 2.37
Tc  0.8750  0.5805  0.7500  2 Tc 2.31, 2 Co 2.37
Tc  0.4195  0.6250  0.2500  2 Tc 2.31, 2 Co 2.37
Co  0.2500  0.7500  0.5000  4 Tc 2.37
Co  0.5000  0.5000  0.0000  4 Tc 2.37
Y  0.7500  0.2500  0.5000  8 Tc 3.14-3.42, 4 Co 3.22
Y  0.0000  0.0000  0.0000  8 Tc 3.14-3.42, 4 Co 3.22

Values from the calculation:
Distance to the lowest polymorph of the same formula in meV per atom: 574
E_form in meV per atom: 680


Record 5
The following is a PBE calculation of a relaxed Tb3Y8Th2 crystal, from the Alexandria database.

Cell lengths 12.5841, 8.8027, 16.2142 Å; angles 79.62, 104.00, 150.63 degrees
Last column: nearest neighbours and their distance in Å.
Positions (direct):
Y  0.3241  0.0969  0.5739  4 Y 3.24-3.62, 2 Tb 3.26-3.46, 1 Th 3.36
Y  0.6759  0.9031  0.4261  4 Y 3.24-3.62, 2 Tb 3.26-3.46, 1 Th 3.36
Y  0.4627  0.6010  0.6228  6 Y 3.24-3.62, 2 Tb 3.40-3.55, 1 Th 3.54
Y  0.2029  0.2438  0.8036  6 Y 3.55-3.83, 4 Tb 3.62-3.75, 1 Th 3.90
Y  0.1765  0.9336  0.1833  1 Th 3.34, 3 Tb 3.35-3.54, 5 Y 3.37-3.65
Y  0.4203  0.2214  0.0000  4 Y 3.31-3.64, 2 Th 3.37, 1 Tb 3.61
Y  0.1185  0.5172  0.0866  2 Tb 3.36-3.39, 5 Y 3.40-3.65, 3 Th 3.42-3.48
Y  0.8235  0.0664  0.8167  1 Th 3.34, 3 Tb 3.35-3.54, 5 Y 3.37-3.65
Y  0.5373  0.3990  0.3772  6 Y 3.24-3.62, 2 Tb 3.40-3.55, 1 Th 3.54
Y  0.5181  0.0525  0.2737  1 Th 3.25, 5 Y 3.26-3.63, 2 Tb 3.36-3.49
Y  0.0089  0.3495  0.6016  3 Y 3.26-3.49, 1 Tb 3.50, 1 Th 3.53
Y  0.8815  0.4828  0.9134  2 Tb 3.36-3.39, 5 Y 3.40-3.65, 3 Th 3.42-3.48
Y  0.4819  0.9475  0.7263  1 Th 3.25, 5 Y 3.26-3.63, 2 Tb 3.36-3.49
Y  0.9911  0.6505  0.3985  3 Y 3.26-3.49, 1 Tb 3.50, 1 Th 3.53
Y  0.7971  0.7562  0.1964  6 Y 3.55-3.83, 4 Tb 3.62-3.75, 1 Th 3.90
Y  0.5797  0.7786  0.0000  4 Y 3.31-3.64, 2 Th 3.37, 1 Tb 3.61
Th  0.1303  0.2052  0.4197  1 Th 3.27, 4 Y 3.36-3.66, 1 Tb 3.37
Th  0.6803  0.2087  0.0992  7 Y 3.25-3.48, 2 Tb 3.47-3.60, 1 Th 3.54
Th  0.8697  0.7948  0.5803  1 Th 3.27, 4 Y 3.36-3.66, 1 Tb 3.37
Th  0.3197  0.7913  0.9008  7 Y 3.25-3.48, 2 Tb 3.47-3.60, 1 Th 3.54
Tb  0.0000  0.0000  0.0000  10 Y 3.54-3.79, 2 Tb 3.94
Tb  0.0227  0.6585  0.7227  5 Y 3.26-3.50, 2 Th 3.37-3.47, 1 Tb 3.65
Tb  0.6032  0.4521  0.7900  7 Y 3.35-3.69, 1 Th 3.60, 1 Tb 3.65
Tb  0.5000  0.0000  0.5000  8 Y 3.40-3.68
Tb  0.3968  0.5479  0.2100  7 Y 3.35-3.69, 1 Th 3.60, 1 Tb 3.65
Tb  0.9773  0.3415  0.2773  5 Y 3.26-3.50, 2 Th 3.37-3.47, 1 Tb 3.65

Values from the calculation:
Distance to the lowest polymorph of the same formula in meV per atom: 0
E_form in meV per atom: 120


Record 6
The following is a PBE calculation of a relaxed SbPb2O6 crystal, from the Alexandria database.

Cell lengths 3.3801, 5.0950, 8.2244 Å; angles 86.86, 78.16, 90.03 degrees
Last column: nearest neighbours and their distance in Å.
Positions (direct):
O  0.5886  0.2956  0.3235  1 Sb 2.01
O  0.2774  0.2946  0.9445  3 Pb 2.19-2.32
O  0.9443  0.1681  0.6117  2 Sb 2.12, 1 Pb 2.33
O  0.7226  0.7054  0.0555  3 Pb 2.19-2.32
O  0.0557  0.8319  0.3883  2 Sb 2.12, 1 Pb 2.33
O  0.4114  0.7044  0.6765  1 Sb 2.01
Pb  0.8438  0.4828  0.8117  6 O 2.19-2.33
Pb  0.1562  0.5172  0.1883  6 O 2.19-2.33
Sb  0.5000  0.0000  0.5000  6 O 2.01-2.12

Values from the calculation:
Distance to the lowest polymorph of the same formula in meV per atom: 0
Formation energy (no corrections) in kJ per mole of atoms: -96.8


Record 7
The following is a PBE calculation of a relaxed BaMn3W crystal, from the Alexandria database.

Cell lengths 4.9457, 4.9457, 4.9457 Å; angles 90.00, 90.00, 90.00 degrees
Last column: nearest neighbours and their distance in Å.
Positions (direct):
Mn  0.0000  0.0000  0.5000  2 Ba 2.47
Mn  0.5000  0.0000  0.0000  2 Ba 2.47
Mn  0.0000  0.5000  0.0000  2 Ba 2.47
Ba  0.0000  0.0000  0.0000  6 Mn 2.47
W  0.5000  0.5000  0.5000  12 Mn 3.50

Values from the calculation:
Distance to the lowest polymorph of the same formula in meV per atom: 1812
E_form in meV per atom: 2746


Record 8
The following is a PBE calculation of a relaxed MnFeRu3 crystal, from the Alexandria database.

Cell lengths 4.3395, 4.3395, 4.3395 Å; angles 90.00, 90.00, 90.00 degrees
Last column: nearest neighbours and their distance in Å.
Positions (direct):
Fe  0.5000  0.5000  0.5000  12 Ru 3.07
Ru  0.0000  0.0000  0.5000  2 Mn 2.17
Ru  0.5000  0.0000  0.0000  2 Mn 2.17
Ru  0.0000  0.5000  0.0000  2 Mn 2.17
Mn  0.0000  0.0000  0.0000  6 Ru 2.17

Values from the calculation:
Distance to the lowest polymorph of the same formula in meV per atom: 0
E_form in meV per atom: 1645


Record 9
The following is a PBE calculation of a relaxed SbOs crystal, from the Alexandria database.

Cell lengths 5.9244, 5.9244, 5.9244 Å; angles 90.00, 90.00, 90.00 degrees
Last column: nearest neighbours and their distance in Å.
Positions (direct):
Sb  0.2500  0.7500  0.7500  4 Os 2.57
Sb  0.2500  0.2500  0.2500  4 Os 2.57
Sb  0.7500  0.7500  0.2500  4 Os 2.57
Sb  0.7500  0.2500  0.7500  4 Os 2.57
Os  0.0000  0.5000  0.5000  4 Sb 2.57
Os  0.0000  0.0000  0.0000  4 Sb 2.57
Os  0.5000  0.5000  0.0000  4 Sb 2.57
Os  0.5000  0.0000  0.5000  4 Sb 2.57

Values from the calculation:
Formation energy (no corrections) in kJ per mole of atoms: 91.0


Record 10
The following is a PBE calculation of a relaxed Be4TeCl crystal, from the Alexandria database.

Cell lengths 4.9511, 4.9511, 4.9511 Å; angles 60.00, 60.00, 60.00 degrees
Last column: nearest neighbours and their distance in Å.
Positions (direct):
Cl  0.7500  0.7500  0.7500  12 Be 2.91, 4 Te 3.03
Be  0.8828  0.3724  0.3724  6 Be 2.42-2.53
Be  0.3724  0.8828  0.3724  6 Be 2.42-2.53
Be  0.3724  0.3724  0.3724  6 Be 2.42-2.53
Be  0.3724  0.3724  0.8828  6 Be 2.42-2.53
Te  0.0000  0.0000  0.0000  12 Be 2.90, 4 Cl 3.03

Values from the calculation:
Formation energy (no corrections) in kJ per mole of atoms: 64.4


Record 11
The following is a PBE calculation of a relaxed NdTm6Sc3 crystal, from the Alexandria database.

Cell lengths 3.4753, 12.5455, 14.3790 Å; angles 110.38, 96.92, 90.01 degrees
Last column: nearest neighbours and their distance in Å.
Positions (direct):
Tm  0.6029  0.3253  0.7058  7 Tm 3.34-3.48, 3 Sc 3.39-3.50, 2 Nd 3.50-3.51
Tm  0.0080  0.3742  0.5157  7 Tm 3.34-3.48, 5 Sc 3.34-3.45
Tm  0.3971  0.6747  0.2942  7 Tm 3.34-3.48, 3 Sc 3.39-3.50, 2 Nd 3.50-3.51
Tm  0.5106  0.8759  0.5212  6 Sc 3.31-3.55, 6 Tm 3.34-3.48
Tm  0.6998  0.7937  0.9003  3 Sc 3.25-3.38, 7 Tm 3.29-3.52, 1 Nd 3.30
Tm  0.4894  0.1241  0.4788  6 Sc 3.31-3.55, 6 Tm 3.34-3.48
Tm  0.6907  0.0472  0.8807  5 Tm 3.29-3.52, 4 Sc 3.42-3.51, 2 Nd 3.49
Tm  0.9920  0.6258  0.4843  7 Tm 3.34-3.48, 5 Sc 3.34-3.45
Tm  0.1847  0.5515  0.8704  6 Tm 3.40-3.48, 2 Sc 3.40, 3 Nd 3.41-3.50
Tm  0.3093  0.9528  0.1193  5 Tm 3.29-3.52, 4 Sc 3.42-3.51, 2 Nd 3.49
Tm  0.3002  0.2063  0.0997  3 Sc 3.25-3.38, 7 Tm 3.29-3.52, 1 Nd 3.30
Tm  0.8153  0.4485  0.1296  6 Tm 3.40-3.48, 2 Sc 3.40, 3 Nd 3.41-3.50
Sc  0.5905  0.5932  0.6815  8 Tm 3.25-3.50, 4 Sc 3.34-3.48
Sc  0.9092  0.9147  0.3185  8 Tm 3.31-3.55, 3 Sc 3.37-3.48, 1 Nd 3.41
Sc  0.4095  0.4068  0.3185  8 Tm 3.25-3.50, 4 Sc 3.34-3.48
Sc  0.1052  0.8301  0.7104  5 Sc 3.34-3.48, 7 Tm 3.34-3.43
Sc  0.0908  0.0853  0.6815  8 Tm 3.31-3.55, 3 Sc 3.37-3.48, 1 Nd 3.41
Sc  0.8948  0.1699  0.2896  5 Sc 3.34-3.48, 7 Tm 3.34-3.43
Nd  0.7945  0.7016  0.0902  8 Tm 3.30-3.51, 1 Sc 3.41, 2 Nd 3.48
Nd  0.2055  0.2984  0.9098  8 Tm 3.30-3.51, 1 Sc 3.41, 2 Nd 3.48

Values from the calculation:
Distance to the lowest polymorph of the same formula in meV per atom: 0
E_form in meV per atom: 46


Record 12
The following is a PBE calculation of a relaxed PtO2F4 crystal, from the Alexandria database.

Cell lengths 3.2841, 4.2839, 7.4648 Å; angles 95.03, 102.93, 89.99 degrees
Last column: nearest neighbours and their distance in Å.
Positions (direct):
F  0.1082  0.3128  0.2131  1 Pt 1.96
F  0.8918  0.6872  0.7869  1 Pt 1.96
F  0.4449  0.2009  0.8919  2 Pt 2.04
F  0.5551  0.7991  0.1081  2 Pt 2.04
Pt  0.0000  0.0000  0.0000  6 F 1.96-2.04
O  0.2568  0.1577  0.5132  2 O 2.12, 1 F 2.34
O  0.7432  0.8423  0.4868  2 O 2.12, 1 F 2.34

Values from the calculation:
Formation energy (no corrections) in kJ per mole of atoms: -11.5